Density functional theory data (PBE-GGA) for Sr2Zr2Te after structural relaxation.

Output
As for the magnetization: 0.00 Bohr magnetons per cell. As for the uncorrected formation energy: 3.30 eV per formula unit. Its polymorph energy (0 for the lowest one) is 0.6504 eV per atom. For the total energy, the calculation gives -40.60 eV for the cell shown.

abc: 4.6183 4.6183 15.7037
angles: 90.00 90.00 90.00
Space group I4/mmm (No. 139)
Inequivalent atoms, fractional coordinates:
Sr 0.0000 0.5000 0.2500 [4 per cell]
Zr 0.0000 0.0000 0.0758 [4 per cell]
Te 0.0000 0.0000 0.5000 [2 per cell]